w | First-principles (PBE with a Hubbard U) data for crystalline CoAgTeO at its relaxed geometry, as listed in the Open Quantum Materials Database.

abc: 5.906 3.839 13.419
angles: 90.00 90.00 90.00
Element x y z (fractional)
Co (0.151, 0.250, 0.197)
Co (0.349, 0.750, 0.697)
Co (0.651, 0.250, 0.303)
Co (0.849, 0.750, 0.803)
Ag (0.232, 0.250, 0.908)
Ag (0.268, 0.750, 0.408)
Ag (0.732, 0.250, 0.592)
Ag (0.768, 0.750, 0.092)
Te (0.218, 0.250, 0.575)
Te (0.282, 0.750, 0.075)
Te (0.718, 0.250, 0.925)
Te (0.782, 0.750, 0.425)
O (0.169, 0.750, 0.810)
O (0.331, 0.250, 0.310)
O (0.669, 0.750, 0.690)
O (0.831, 0.250, 0.190)

Results
total magnetization = 0.59 μB per atom

***

x | First-principles (PBE with a Hubbard U) data for crystalline CoAgTeO at its relaxed geometry, as listed in the Open Quantum Materials Database.

abc: 5.047 5.047 6.552
angles: 90.00 90.00 90.00
Element x y z (fractional)
Co (0.250, 0.250, 0.166)
Co (0.750, 0.750, 0.834)
Ag (0.250, 0.250, 0.743)
Ag (0.750, 0.750, 0.257)
Te (0.250, 0.750, 0.000)
Te (0.750, 0.250, 0.000)
O (0.250, 0.250, 0.423)
O (0.750, 0.750, 0.577)

Results
total magnetization = 0.76 μB per atom

***

The data favor w; the next most stable structure lies 27.6 kJ/mol of atoms above it.

***

w | First-principles (PBE with a Hubbard U) data for crystalline CoAgTeO at its relaxed geometry, as listed in the Open Quantum Materials Database.

abc: 3.933 3.933 9.692
angles: 90.00 90.00 90.00
Element x y z (fractional)
Co (0.250, 0.250, 0.044)
Co (0.750, 0.750, 0.956)
Ag (0.250, 0.250, 0.625)
Ag (0.750, 0.750, 0.375)
Te (0.250, 0.250, 0.318)
Te (0.750, 0.750, 0.682)
O (0.250, 0.750, 0.000)
O (0.750, 0.250, 0.000)

Results
total magnetization = 0.69 μB per atom

***

x | First-principles (PBE with a Hubbard U) data for crystalline CoAgTeO at its relaxed geometry, as listed in the Open Quantum Materials Database.

abc: 6.511 11.772 8.217
angles: 90.00 90.00 90.00
Element x y z (fractional)
Co (0.000, 0.235, 0.249)
Co (0.000, 0.265, 0.749)
Co (0.000, 0.735, 0.251)
Co (0.000, 0.765, 0.751)
Co (0.500, 0.235, 0.251)
Co (0.500, 0.265, 0.751)
Co (0.500, 0.735, 0.249)
Co (0.500, 0.765, 0.749)
Ag (0.241, 0.105, 0.485)
Ag (0.241, 0.395, 0.985)
Ag (0.259, 0.605, 0.485)
Ag (0.259, 0.895, 0.985)
Ag (0.741, 0.105, 0.015)
Ag (0.741, 0.395, 0.515)
Ag (0.759, 0.605, 0.015)
Ag (0.759, 0.895, 0.515)
Te (0.000, 0.008, 0.754)
Te (0.000, 0.492, 0.254)
Te (0.000, 0.508, 0.746)
Te (0.000, 0.992, 0.246)
Te (0.500, 0.008, 0.746)
Te (0.500, 0.492, 0.246)
Te (0.500, 0.508, 0.754)
Te (0.500, 0.992, 0.254)
O (0.250, 0.238, 0.147)
O (0.250, 0.262, 0.647)
O (0.250, 0.738, 0.147)
O (0.250, 0.762, 0.647)
O (0.750, 0.238, 0.353)
O (0.750, 0.262, 0.853)
O (0.750, 0.738, 0.353)
O (0.750, 0.762, 0.853)

Results
total magnetization = 0.69 μB per atom

***

The data favor w; the next most stable structure lies 15.0 kJ/mol of atoms above it.